Density functional theory data (PBE with a Hubbard U) for crystalline MnPCO2 at its relaxed geometry.

E above lowest polymorph: 91 meV/atom
DOS(E_F): 3.1 states/eV/cell
total moment: 2.8 Bohr magnetons per cell
E: -5.572 eV per atom

a b c (Å): 3.5095 3.5095 5.4393
angles (deg): 90.00 90.00 90.00
Positions (direct):
1 Mn 0.0000 0.0000 0.0000
2 P 0.0000 0.0000 0.5000
3 C 0.5000 0.5000 0.5000
4 O 0.0000 0.5000 0.0000
5 O 0.5000 0.0000 0.0000